The following is a DFT calculation (GGA-PBE) of a geometry-optimized K3In5Te12 structure.

Cell and atoms, written as POSCAR:
```
K3In5Te12
1.0
16.5188 0.0000 0.0000
-5.5063 15.5741 0.0000
-5.5063 -7.7870 13.4876
K In Te
12 20 48
Direct
0.7500 0.3750 0.1250
0.8750 0.7500 0.1250
0.3750 0.7500 0.6250
0.2500 0.1250 0.3750
0.8750 0.1250 0.2500
0.3750 0.6250 0.2500
0.6250 0.3750 0.7500
0.1250 0.8750 0.7500
0.7500 0.8750 0.6250
0.6250 0.2500 0.3750
0.1250 0.2500 0.8750
0.2500 0.6250 0.8750
0.1250 0.3750 0.2500
0.0000 0.5000 0.0000
0.0000 0.0000 0.0000
0.3750 0.2500 0.1250
0.5000 0.0000 0.5000
0.5000 0.5000 0.0000
0.1250 0.7500 0.3750
0.7500 0.1250 0.8750
0.7500 0.6250 0.3750
0.3750 0.1250 0.7500
0.6250 0.8750 0.2500
0.5000 0.5000 0.5000
0.5000 0.0000 0.0000
0.0000 0.0000 0.5000
0.2500 0.3750 0.6250
0.2500 0.8750 0.1250
0.0000 0.5000 0.5000
0.8750 0.2500 0.6250
0.6250 0.7500 0.8750
0.8750 0.6250 0.7500
0.7101 0.0668 0.0148
0.3047 0.5148 0.4480
0.9852 0.4332 0.2899
0.5148 0.2101 0.0668
0.6433 0.7101 0.6953
0.9852 0.5520 0.1953
0.3047 0.7899 0.3567
0.0520 0.8567 0.0668
0.5520 0.9852 0.6953
0.7101 0.6433 0.1953
0.7899 0.4852 0.4332
0.8047 0.9480 0.0148
0.0668 0.7101 0.5148
0.4332 0.4480 0.1433
0.1433 0.9480 0.4332
0.3567 0.0668 0.5520
0.1433 0.1953 0.2101
0.4852 0.6953 0.0520
0.8047 0.8567 0.2899
0.0668 0.3567 0.0520
0.4332 0.9852 0.7899
0.5520 0.5668 0.3567
0.9480 0.8047 0.5148
0.7899 0.3047 0.8567
0.4480 0.4332 0.6433
0.0520 0.1953 0.4852
0.2101 0.6953 0.1433
0.1953 0.1433 0.7101
0.5668 0.0148 0.2101
0.9332 0.6433 0.9480
0.5148 0.3047 0.9480
0.6433 0.9332 0.4480
0.8567 0.8047 0.7899
0.8567 0.0520 0.5668
0.9332 0.2899 0.4852
0.1953 0.0520 0.9852
0.5668 0.5520 0.8567
0.4480 0.0148 0.3047
0.2899 0.3567 0.8047
0.2101 0.5148 0.5668
0.9480 0.1433 0.9332
0.6953 0.2101 0.6433
0.4852 0.7899 0.9332
0.0148 0.4480 0.8047
0.3567 0.2899 0.3047
0.0148 0.5668 0.7101
0.6953 0.4852 0.5520
0.2899 0.9332 0.9852
```

Values from the calculation:
Crystal system: cubic
Total energy, eV/atom: -3.01
Raw formation energy, eV per atom: -0.28